The following is a PBE calculation of an optimized crystal structure of NaSeI2Br, from Alexandria via LeMat-Bulk.

Unit cell a=6.006 b=6.006 c=5.223 alpha=90.00 beta=90.00 gamma=90.00
Fractional positions:
I1 0.000 0.500 0.000
I2 0.500 0.000 0.000
Na1 0.500 0.500 0.500
Se1 0.000 0.000 0.000
Br1 0.000 0.000 0.500

Results
DOS at the Fermi energy = 4.50 states/eV/f.u.
V = 188.4 Å³/f.u.
Symmetry = No. 123


The following is a PBE calculation of an optimized crystal structure of NaSeIBr2, from Alexandria via LeMat-Bulk.

Unit cell a=5.895 b=5.895 c=5.450 alpha=90.00 beta=90.00 gamma=90.00
Fractional positions:
I1 0.000 0.000 0.000
Na1 0.500 0.500 0.500
Se1 0.000 0.000 0.500
Br1 0.000 0.500 0.000
Br2 0.500 0.000 0.000

Results
DOS at the Fermi energy = 3.43 states/eV/f.u.
Energy relative to the lowest polymorph listed for this composition = 232 meV per atom
V = 189.4 Å³/f.u.
Symmetry = No. 123


The following is a PBE calculation of an optimized crystal structure of NaSe2IBr, from Alexandria via LeMat-Bulk.

Unit cell a=5.665 b=5.665 c=5.249 alpha=90.00 beta=90.00 gamma=90.00
Fractional positions:
I1 0.500 0.500 0.500
Na1 0.000 0.000 0.000
Se1 0.000 0.500 0.000
Se2 0.500 0.000 0.000
Br1 0.000 0.000 0.500

Results
DOS at the Fermi energy = 8.79 states/eV/f.u.
Energy relative to the lowest polymorph listed for this composition = 393 meV per atom
V = 168.4 Å³/f.u.
Symmetry = No. 123


| no. | raw total energy (eV/atom) | formation energy without anion corrections (meV per atom) | calculated density (g cm⁻³) |
| --- | --- | --- | --- |
| 1 | -2.28 | -360 | 3.840 |
| 2 | -2.12 | -177 | 3.408 |
| 3 | -1.88 | 426 | 3.822 |